Entry 1:
A plane-wave DFT calculation with PBE-GGA was carried out for crystalline BaNaIBr2 at its relaxed geometry.

Properties
As for the magnetization: 0.000 Bohr magnetons per cell. The energy relative to the elements, uncorrected is -1.24 eV per atom. The total energy comes out at -2.8679 eV per atom.

a b c (Å): 5.2993 6.9136 5.2993
angles (deg): 90.00 90.00 90.00
Last column: nearest neighbours and their distance in Å.
Element x y z (fractional)
Br  0.0000  0.0000  0.5000  2 Na 2.65
Br  0.5000  0.0000  0.0000  2 Na 2.65
Ba  0.0000  0.5000  0.0000  2 Na 3.46, 4 I 3.75
Na  0.0000  0.0000  0.0000  4 Br 2.65
I  0.5000  0.5000  0.5000  4 Ba 3.75

---

Entry 2:
A plane-wave DFT calculation with PBE-GGA was carried out for crystalline Dy3Ho2Tm6 at its relaxed geometry.

Properties
As for the magnetization: 0.000 Bohr magnetons per cell. Its energy above the most stable polymorph in this dataset is 0.264 eV/atom. The total energy comes out at -4.2377 eV per atom.

a b c (Å): 4.6616 4.6616 16.7125
angles (deg): 98.02 98.02 90.00
Last column: nearest neighbours and their distance in Å.
Element x y z (fractional)
Tm  0.3049  0.3049  0.6098  5 Dy 3.30-3.40, 4 Tm 3.35
Tm  0.6951  0.6951  0.3902  5 Dy 3.30-3.40, 4 Tm 3.35
Tm  0.8784  0.3784  0.7568  6 Tm 3.30-3.35, 2 Ho 3.39, 2 Dy 3.50
Tm  0.3784  0.8784  0.7568  6 Tm 3.30-3.35, 2 Ho 3.39, 2 Dy 3.50
Tm  0.6216  0.1216  0.2432  6 Tm 3.30-3.35, 2 Ho 3.39, 2 Dy 3.50
Tm  0.1216  0.6216  0.2432  6 Tm 3.30-3.35, 2 Ho 3.39, 2 Dy 3.50
Dy  0.0000  0.0000  0.0000  8 Ho 3.63
Dy  0.2012  0.2012  0.4024  9 Tm 3.30-3.50
Dy  0.7988  0.7988  0.5976  9 Tm 3.30-3.50
Ho  0.4537  0.4537  0.9074  1 Ho 3.03, 4 Tm 3.39
Ho  0.5463  0.5463  0.0926  1 Ho 3.03, 4 Tm 3.39

---

Entry 3:
A plane-wave DFT calculation with PBE-GGA was carried out for crystalline InCu2Ru at its relaxed geometry.

Properties
As for the magnetization: 0.440 Bohr magnetons per cell. The total energy comes out at -4.8237 eV per atom.

a b c (Å): 4.1320 2.7994 5.3171
angles (deg): 74.65 90.00 90.00
Last column: nearest neighbours and their distance in Å.
Element x y z (fractional)
Ru  0.5000  0.7970  0.7799  7 Cu 2.72-2.76, 2 Ru 2.80, 4 In 2.92
In  0.0000  0.4457  0.4847  7 Cu 2.61-2.89, 2 In 2.80
Cu  0.0000  0.1894  0.9928  2 Cu 2.43, 1 In 2.61
Cu  0.5000  0.0678  0.2426  2 Cu 2.43

---

Q: Look up the magnetization of the first one.
A: 0.000 Bohr magnetons per cell

---

Q: Look up the magnetization of the third one.
A: 0.440 Bohr magnetons per cell

---

Q: What is the magnetization in the first record?
A: 0.000 Bohr magnetons per cell

---

Repeat the first record exactly.
A plane-wave DFT calculation with PBE-GGA was carried out for crystalline BaNaIBr2 at its relaxed geometry.

Properties
As for the magnetization: 0.000 Bohr magnetons per cell. The energy relative to the elements, uncorrected is -1.24 eV per atom. The total energy comes out at -2.8679 eV per atom.

a b c (Å): 5.2993 6.9136 5.2993
angles (deg): 90.00 90.00 90.00
Last column: nearest neighbours and their distance in Å.
Element x y z (fractional)
Br  0.0000  0.0000  0.5000  2 Na 2.65
Br  0.5000  0.0000  0.0000  2 Na 2.65
Ba  0.0000  0.5000  0.0000  2 Na 3.46, 4 I 3.75
Na  0.0000  0.0000  0.0000  4 Br 2.65
I  0.5000  0.5000  0.5000  4 Ba 3.75